Record 1
The following is a DFT calculation (SCAN) of a PBEsol-optimized structure of HfMo2.

## Properties
Calculated total energy: -44.312 eV/atom
Formation enthalpy at 0 K: -0.165 eV per atom
Symmetry: Fd-3m, No. 227
E above lowest polymorph: 0.0 meV/atom
Crystal system: cubic

Geometry as POSCAR:
```
HfMo2
1.0
5.293 0.000 0.000
2.647 4.584 0.000
2.647 1.528 4.322
Mo Hf
4 2
Cartesian
3.970 3.820 2.701 Mo
6.616 3.820 2.701 Mo
5.293 3.056 0.540 Mo
5.293 1.528 2.701 Mo
0.000 0.000 0.000 Hf
2.647 1.528 1.080 Hf
```



Record 2
The following is a DFT calculation (SCAN) of a PBEsol-optimized structure of HfMo3N.

## Properties
Calculated total energy: -32.060 eV/atom
Symmetry: Pm-3m, No. 221
Crystal system: cubic

Geometry as POSCAR:
```
HfMo3N
1.0
-1.199 -0.535 -4.491
-3.000 -3.383 1.204
-3.385 3.188 0.524
Mo Hf N
3 1 1
Cartesian
-1.500 -1.691 0.602 Mo
-1.692 1.594 0.262 Mo
-0.600 -0.268 -2.245 Mo
0.000 0.000 0.000 Hf
-3.792 -0.365 -1.381 N
```



Record 3
The following is a DFT calculation (SCAN) of a PBEsol-optimized structure of Na2HfMo2.

## Properties
Calculated total energy: -26.992 eV/atom
Formation enthalpy at 0 K: 1.183 eV per atom
Symmetry: I4/mmm, No. 139
Crystal system: tetragonal

Geometry as POSCAR:
```
Na2HfMo2
1.0
-3.253 -0.726 0.477
-0.426 -0.276 -3.328
4.379 -10.492 2.012
Na Mo Hf
2 2 1
Cartesian
1.927 -8.345 0.445 Na
-1.228 -3.149 -1.284 Na
1.056 -5.634 -1.371 Mo
-0.357 -5.859 0.532 Mo
0.000 0.000 0.000 Hf
```